Record 1
# GaTcSe2Br, relaxed, DFT PBE
# - magnetic moment (μB per formula unit) = 0.0
# - offset from the most stable computed form (eV/atom) = 0.000
# - ρ (g cm⁻³) = 5.24
# - DFT total energy (Ry/atom) = -0.319
# - raw formation energy (eV/atom) = 0.0734
data_GaTcSe2Br
_symmetry_space_group_name_H-M 'P 4/m m m'
_symmetry_Int_Tables_number 123
_symmetry_space_group_name_Hall '-P 4 2'
_cell_length_a 4.8250
_cell_length_b 4.8250
_cell_length_c 5.5205
_cell_angle_alpha 90.00
_cell_angle_beta 90.00
_cell_angle_gamma 90.00
loop_
_atom_site_label
_atom_site_fract_x
_atom_site_fract_y
_atom_site_fract_z
Ga1 0.0000 0.0000 0.0000
Tc1 0.5000 0.5000 0.5000
Se1 0.0000 0.5000 0.5000
Br1 0.5000 0.5000 0.0000

=====

Record 2
# KBPb, relaxed, DFT PBE
# - magnetic moment (μB per formula unit) = 0.0
# - offset from the most stable computed form (eV/atom) = 0.588
# - ρ (g cm⁻³) = 4.70
# - DFT total energy (Ry/atom) = -0.228
# - E_form (eV per atom) = 0.73
data_KBPb
_symmetry_space_group_name_H-M 'C 1 2/m 1'
_symmetry_Int_Tables_number 12
_cell_length_a 13.3351
_cell_length_b 3.9977
_cell_length_c 7.3528
_cell_angle_alpha 90.00
_cell_angle_beta 111.89
_cell_angle_gamma 90.00
loop_
_symmetry_equiv_pos_as_xyz
'x,y,z'
'-x,-y,-z'
'-x,y,-z'
'x,-y,z'
'x+1/2,y+1/2,z'
'-x+1/2,-y+1/2,-z'
'-x+1/2,y+1/2,-z'
'x+1/2,-y+1/2,z'
loop_
_atom_site_label
_atom_site_fract_x
_atom_site_fract_y
_atom_site_fract_z
K1 0.0947 0.0000 0.2484
B1 0.1315 0.5000 0.9327
Pb1 0.1825 0.0000 0.8001

=====

Record 3
# InSn3W, relaxed, DFT PBE
# - magnetic moment (μB per formula unit) = 4.1
# - offset from the most stable computed form (eV/atom) = 1.278
# - ρ (g cm⁻³) = 6.57
# - DFT total energy (Ry/atom) = -0.283
# - E_form (eV per atom) = 1.69
data_InSn3W
_symmetry_space_group_name_H-M 'P m -3 m'
_symmetry_Int_Tables_number 221
_symmetry_space_group_name_Hall '-P 4 2 3'
_cell_length_a 5.4893
_cell_length_b 5.4893
_cell_length_c 5.4893
_cell_angle_alpha 90.00
_cell_angle_beta 90.00
_cell_angle_gamma 90.00
loop_
_atom_site_label
_atom_site_fract_x
_atom_site_fract_y
_atom_site_fract_z
In1 0.0000 0.0000 0.0000
Sn1 0.0000 0.0000 0.5000
W1 0.5000 0.5000 0.5000

=====

Record 4
# LiBeW4, relaxed, DFT PBE
# - magnetic moment (μB per formula unit) = 0.0
# - ρ (g cm⁻³) = 12.12
# - DFT total energy (Ry/atom) = -0.637
# - E_form (eV per atom) = 0.91
data_LiBeW4
_symmetry_space_group_name_H-M 'F -4 3 m'
_symmetry_Int_Tables_number 216
_symmetry_space_group_name_Hall 'F -4 2 3'
_cell_length_a 7.4393
_cell_length_b 7.4393
_cell_length_c 7.4393
_cell_angle_alpha 90.00
_cell_angle_beta 90.00
_cell_angle_gamma 90.00
loop_
_atom_site_label
_atom_site_fract_x
_atom_site_fract_y
_atom_site_fract_z
Li1 0.0000 0.0000 0.0000
Be1 0.2500 0.2500 0.2500
W1 0.1254 0.1254 0.6254

=====

Record 5
# Cs2CeAlS5, relaxed, DFT PBE
# - magnetic moment (μB per formula unit) = 1.1
# - ρ (g cm⁻³) = 3.18
# - DFT total energy (Ry/atom) = -0.353
# - raw formation energy (eV/atom) = -1.2413
data_Cs2CeAlS5
_symmetry_space_group_name_H-M 'C m c 21'
_symmetry_Int_Tables_number 36
_cell_length_a 3.9797
_cell_length_b 20.8178
_cell_length_c 14.9333
_cell_angle_alpha 90.00
_cell_angle_beta 90.00
_cell_angle_gamma 90.00
loop_
_symmetry_equiv_pos_as_xyz
'x,y,z'
'-x,-y,z+1/2'
'-x,y,z'
'x,-y,z+1/2'
'x+1/2,y+1/2,z'
'-x+1/2,-y+1/2,z+1/2'
'-x+1/2,y+1/2,z'
'x+1/2,-y+1/2,z+1/2'
loop_
_atom_site_label
_atom_site_fract_x
_atom_site_fract_y
_atom_site_fract_z
Cs1 0.0000 0.1265 0.0000
Cs2 0.0000 0.1289 0.6335
Ce1 0.0000 0.1992 0.3356
Al1 0.0000 0.4288 0.7410
S1 0.0000 0.0594 0.3245
S2 0.0000 0.3032 0.9546
S3 0.0000 0.3212 0.7063
S4 0.0000 0.3247 0.3184
S5 0.0000 0.4891 0.6196

=====

Record 6
# TbNbAl2, relaxed, DFT PBE
# - magnetic moment (μB per formula unit) = 0.0
# - offset from the most stable computed form (eV/atom) = 0.000
# - ρ (g cm⁻³) = 6.33
# - DFT total energy (Ry/atom) = -0.426
# - E_form (eV per atom) = -0.26
data_TbNbAl2
_symmetry_space_group_name_H-M 'P 4/m m m'
_symmetry_Int_Tables_number 123
_symmetry_space_group_name_Hall '-P 4 2'
_cell_length_a 3.5398
_cell_length_b 3.5398
_cell_length_c 6.4043
_cell_angle_alpha 90.00
_cell_angle_beta 90.00
_cell_angle_gamma 90.00
loop_
_atom_site_label
_atom_site_fract_x
_atom_site_fract_y
_atom_site_fract_z
Tb1 0.0000 0.0000 0.0000
Nb1 0.0000 0.0000 0.5000
Al1 0.5000 0.5000 0.2979

=====

Record 7
# KTl4I6, relaxed, DFT PBE
# - magnetic moment (μB per formula unit) = 0.0
# - ρ (g cm⁻³) = 5.53
# - DFT total energy (Ry/atom) = -0.185
# - raw formation energy (eV/atom) = -0.7082
data_KTl4I6
_symmetry_space_group_name_H-M 'C m c m'
_symmetry_Int_Tables_number 63
_symmetry_space_group_name_Hall '-C 2c 2'
_cell_length_a 4.9059
_cell_length_b 16.1461
_cell_length_c 24.5274
_cell_angle_alpha 90.00
_cell_angle_beta 90.00
_cell_angle_gamma 90.00
loop_
_atom_site_label
_atom_site_fract_x
_atom_site_fract_y
_atom_site_fract_z
K1 0.0000 0.1702 0.2500
Tl1 0.0000 0.0861 0.6295
Tl2 0.0000 0.3565 0.5441
I1 0.0000 0.0000 0.0000
I2 0.0000 0.1663 0.7500
I3 0.0000 0.2737 0.0925
I4 0.0000 0.4497 0.6657

=====

Record 8
# Zr2CdAu, relaxed, DFT PBE
# - magnetic moment (μB per formula unit) = 0.0
# - ρ (g cm⁻³) = 9.83
# - DFT total energy (Ry/atom) = -0.405
# - E_form (eV per atom) = -0.19
data_Zr2CdAu
_symmetry_space_group_name_H-M 'I -4 m 2'
_symmetry_Int_Tables_number 119
_symmetry_space_group_name_Hall 'I -4 -2'
_cell_length_a 4.2292
_cell_length_b 4.2292
_cell_length_c 9.2874
_cell_angle_alpha 90.00
_cell_angle_beta 90.00
_cell_angle_gamma 90.00
loop_
_atom_site_label
_atom_site_fract_x
_atom_site_fract_y
_atom_site_fract_z
Zr1 0.0000 0.0000 0.0000
Zr2 0.0000 0.5000 0.2500
Cd1 0.0000 0.0000 0.5000
Au1 0.0000 0.5000 0.7500

=====

Record 9
# NbPdRh4, relaxed, DFT PBE
# - magnetic moment (μB per formula unit) = 0.0
# - ρ (g cm⁻³) = 10.90
# - DFT total energy (Ry/atom) = -0.554
# - E_form (eV per atom) = -0.09
data_NbPdRh4
_symmetry_space_group_name_H-M 'C 1 2/m 1'
_symmetry_Int_Tables_number 12
_cell_length_a 5.2070
_cell_length_b 7.4982
_cell_length_c 5.3987
_cell_angle_alpha 90.00
_cell_angle_beta 117.96
_cell_angle_gamma 90.00
loop_
_symmetry_equiv_pos_as_xyz
'x,y,z'
'-x,-y,-z'
'-x,y,-z'
'x,-y,z'
'x+1/2,y+1/2,z'
'-x+1/2,-y+1/2,-z'
'-x+1/2,y+1/2,-z'
'x+1/2,-y+1/2,z'
loop_
_atom_site_label
_atom_site_fract_x
_atom_site_fract_y
_atom_site_fract_z
Nb1 0.0000 0.0000 0.0000
Pd1 0.0000 0.5000 0.5000
Rh1 0.2449 0.1878 0.7496

=====

Record 10
# TlCdRhBr2, relaxed, DFT PBE
# - magnetic moment (μB per formula unit) = 0.0
# - ρ (g cm⁻³) = 6.68
# - DFT total energy (Ry/atom) = -0.209
# - raw formation energy (eV/atom) = -0.0519
data_TlCdRhBr2
_symmetry_space_group_name_H-M 'P 4/m m m'
_symmetry_Int_Tables_number 123
_symmetry_space_group_name_Hall '-P 4 2'
_cell_length_a 5.1516
_cell_length_b 5.1516
_cell_length_c 5.4320
_cell_angle_alpha 90.00
_cell_angle_beta 90.00
_cell_angle_gamma 90.00
loop_
_atom_site_label
_atom_site_fract_x
_atom_site_fract_y
_atom_site_fract_z
Tl1 0.0000 0.0000 0.0000
Cd1 0.5000 0.5000 0.0000
Rh1 0.0000 0.0000 0.5000
Br1 0.0000 0.5000 0.5000

=====

Record 11
# Ta2Ni15Pt2, relaxed, DFT PBE
# - magnetic moment (μB per formula unit) = 4.1
# - ρ (g cm⁻³) = 11.64
# - DFT total energy (Ry/atom) = -0.478
# - E_form (eV per atom) = -0.06
data_Ta2Ni15Pt2
_symmetry_space_group_name_H-M 'R -3 m'
_symmetry_Int_Tables_number 166
_symmetry_space_group_name_Hall '-R 3 2"'
_cell_length_a 8.2134
_cell_length_b 8.2134
_cell_length_c 11.9593
_cell_angle_alpha 90.00
_cell_angle_beta 90.00
_cell_angle_gamma 120.00
loop_
_atom_site_label
_atom_site_fract_x
_atom_site_fract_y
_atom_site_fract_z
Ta1 0.0000 0.0000 0.1529
Ni1 0.0000 0.3146 0.5000
Ni2 0.0000 0.5000 0.0000
Ni3 0.0148 0.5074 0.6555
Pt1 0.0000 0.0000 0.3877

=====

Record 12
# BaRe2Au, relaxed, DFT PBE
# - magnetic moment (μB per formula unit) = 0.0
# - offset from the most stable computed form (eV/atom) = 0.000
# - ρ (g cm⁻³) = 11.36
# - DFT total energy (Ry/atom) = -0.526
# - E_form (eV per atom) = 0.36
data_BaRe2Au
_symmetry_space_group_name_H-M 'R 3 m'
_symmetry_Int_Tables_number 160
_symmetry_space_group_name_Hall 'R 3 -2"'
_cell_length_a 4.3408
_cell_length_b 4.3408
_cell_length_c 18.9865
_cell_angle_alpha 90.00
_cell_angle_beta 90.00
_cell_angle_gamma 120.00
loop_
_atom_site_label
_atom_site_fract_x
_atom_site_fract_y
_atom_site_fract_z
Ba1 0.0000 0.0000 0.0000
Re1 0.0000 0.0000 0.1952
Re2 0.0000 0.0000 0.5264
Au1 0.0000 0.0000 0.7923